Compound: Al2InMoIr
Source: Alexandria via LeMat-Bulk
Functional: GGA-PBE
Structure: optimized geometry

ΔH_f (0 K)   429 meV per atom
Volume   110 Å³/cell
Calculated total energy   -5.55 eV/atom

```
data_Al2InMoIr
_chemical_formula_sum 'Al2 In1 Mo1 Ir1'
_cell_length_a 4.6842
_cell_length_b 4.6842
_cell_length_c 4.9936
_cell_angle_alpha 90.00
_cell_angle_beta 90.00
_cell_angle_gamma 90.00
_space_group_name_H-M_alt 'P 1'
_space_group_IT_number 1
_space_group_name_Hall 'P 1'
loop_
_atom_site_label
_atom_site_fract_x
_atom_site_fract_y
_atom_site_fract_z
Al1 0.0000 0.5000 0.0000
Al2 0.5000 0.0000 0.0000
In1 0.0000 0.0000 0.5000
Mo1 0.5000 0.5000 0.5000
Ir1 0.5000 0.5000 0.0000
```